# 1
## CaEr2Ta (PBE)

Data for a relaxed CaEr2Ta crystal.

Lattice parameters (Å, degrees): 7.6081 7.6081 7.6081 90.00 90.00 90.00
Space group Fm-3m (No. 225)
One atom of each set of equivalent atoms:
1 Ca 0.0000 0.0000 0.0000 (multiplicity 4)
2 Er 0.2500 0.2500 0.2500 (multiplicity 8)
3 Ta 0.0000 0.0000 0.5000 (multiplicity 4)

Summary:
* energy of formation: 475.7 meV per atom



# 2
## Ca2YPd (PBE)

Data for a relaxed Ca2YPd crystal.

Lattice parameters (Å, degrees): 9.2831 9.2831 5.9490 90.00 90.00 90.00
Space group I-42d (No. 122)
One atom of each set of equivalent atoms:
1 Ca 0.1585 0.2500 0.1250 (multiplicity 8)
2 Y 0.0000 0.0000 0.5000 (multiplicity 4)
3 Pd 0.0000 0.0000 0.0000 (multiplicity 4)

Summary:
* distance to the lowest polymorph of the same formula: 0.0 kJ/mol of atoms
* energy of formation: -135.1 meV per atom



# 3
## BaEr5 (PBE)

Data for a relaxed BaEr5 crystal.

Lattice parameters (Å, degrees): 5.9259 18.4244 3.7521 90.00 90.00 90.00
Space group Cmmm (No. 65)
One atom of each set of equivalent atoms:
1 Ba 0.0000 0.0000 0.0000 (multiplicity 2)
2 Er 0.0000 0.1903 0.5000 (multiplicity 4)
3 Er 0.0000 0.3465 0.0000 (multiplicity 4)
4 Er 0.0000 0.5000 0.5000 (multiplicity 2)

Summary:
* energy of formation: 220.2 meV per atom